No. 1
Computed, not measured: a relaxed TcTe2MoN crystal at the PBE level of DFT.

abc: 5.4293 5.4293 3.7690
angles: 90.00 90.00 90.00
Space group P4/mmm (No. 123)
Inequivalent atoms, fractional coordinates:
Tc (0.0000, 0.0000, 0.0000) x1
Te (0.0000, 0.5000, 0.5000) x2
Mo (0.5000, 0.5000, 0.5000) x1
N (0.5000, 0.5000, 0.0000) x1

Computed properties:
excess energy over the best structure of this formula in the dataset	0.42	eV per formula unit
ΔE_f (raw)	0.8062	eV per atom

No. 2
Computed, not measured: a relaxed CuP2Rh2 crystal at the PBE level of DFT.

abc: 6.7490 6.7490 3.0086
angles: 90.00 90.00 90.00
Space group P4/mbm (No. 127)
Inequivalent atoms, fractional coordinates:
Cu (0.0000, 0.0000, 0.0000) x2
P (0.1511, 0.3489, 0.0000) x4
Rh (0.1481, 0.6481, 0.5000) x4

Computed properties:
energy of formation from the pure elements	-186	meV per atom
excess energy over the best structure of this formula in the dataset	0.00	eV per formula unit

No. 3
Computed, not measured: a relaxed LiSbMoI2 crystal at the PBE level of DFT.

abc: 5.2859 5.2859 5.5440
angles: 90.00 90.00 90.00
Space group P4/mmm (No. 123)
Inequivalent atoms, fractional coordinates:
Li (0.0000, 0.0000, 0.0000) x1
Sb (0.5000, 0.5000, 0.0000) x1
Mo (0.0000, 0.0000, 0.5000) x1
I (0.0000, 0.5000, 0.5000) x2

Computed properties:
excess energy over the best structure of this formula in the dataset	2.92	eV per formula unit
ΔE_f (raw)	0.8081	eV per atom

No. 4
Computed, not measured: a relaxed CePrDyN3 crystal at the PBE level of DFT.

abc: 6.0988 3.5415 9.2669
angles: 90.00 101.67 90.00
Space group P2_1/m (No. 11)
Inequivalent atoms, fractional coordinates:
Ce (0.1509, 0.2500, 0.1459) x2
Pr (0.3352, 0.2500, 0.8005) x2
Dy (0.2326, 0.7500, 0.4573) x2
N (0.0365, 0.7500, 0.6522) x2
N (0.2490, 0.7500, 0.0041) x2
N (0.4583, 0.2500, 0.3369) x2

Computed properties:
ΔE_f (raw)	-1.3119	eV per atom

No. 5
Computed, not measured: a relaxed ScSb3Au crystal at the PBE level of DFT.

abc: 5.4063 5.4063 5.4063
angles: 90.00 90.00 90.00
Space group Pm-3m (No. 221)
Inequivalent atoms, fractional coordinates:
Sc (0.0000, 0.0000, 0.0000) x1
Sb (0.0000, 0.0000, 0.5000) x3
Au (0.5000, 0.5000, 0.5000) x1

Computed properties:
excess energy over the best structure of this formula in the dataset	0.00	eV per formula unit
ΔE_f (raw)	0.3902	eV per atom

No. 6
Computed, not measured: a relaxed AcPm3Pt3 crystal at the PBE level of DFT.

abc: 8.9616 8.9616 17.4224
angles: 90.00 90.00 120.00
Space group R-3 (No. 148, hexagonal axes)
Inequivalent atoms, fractional coordinates:
Ac (0.0000, 0.0000, 0.1679) x6
Pm (0.0111, 0.2754, 0.5995) x18
Pt (0.0071, 0.3732, 0.4313) x18

Computed properties:
energy of formation from the pure elements	-967	meV per atom

No. 7
Computed, not measured: a relaxed RbBa3Cr crystal at the PBE level of DFT.

abc: 6.7310 6.7310 6.7310
angles: 90.00 90.00 90.00
Space group Pm-3m (No. 221)
Inequivalent atoms, fractional coordinates:
Rb (0.0000, 0.0000, 0.0000) x1
Ba (0.0000, 0.0000, 0.5000) x3
Cr (0.5000, 0.5000, 0.5000) x1

Computed properties:
energy of formation from the pure elements	1192	meV per atom
excess energy over the best structure of this formula in the dataset	2.22	eV per formula unit

No. 8
Computed, not measured: a relaxed Hf2RuSe2 crystal at the PBE level of DFT.

abc: 7.3133 7.3133 3.5124
angles: 90.00 90.00 90.00
Space group P4/mbm (No. 127)
Inequivalent atoms, fractional coordinates:
Hf (0.1583, 0.3417, 0.0000) x4
Ru (0.0000, 0.0000, 0.0000) x2
Se (0.1439, 0.6439, 0.5000) x4

Computed properties:
excess energy over the best structure of this formula in the dataset	0.63	eV per formula unit
ΔE_f (raw)	-0.3629	eV per atom

No. 9
Computed, not measured: a relaxed Ni6Sn2Pt crystal at the PBE level of DFT.

abc: 9.3305 7.2728 4.2562
angles: 90.00 116.52 90.00
Space group C2/m (No. 12)
Inequivalent atoms, fractional coordinates:
Ni (0.0000, 0.1990, 0.0000) x4
Ni (0.1544, 0.3078, 0.6523) x8
Sn (0.1832, 0.5000, 0.1800) x4
Pt (0.0000, 0.0000, 0.5000) x2

Computed properties:
energy of formation from the pure elements	-14	meV per atom

No. 10
Computed, not measured: a relaxed Pr6In5Ga crystal at the PBE level of DFT.

abc: 5.4775 16.4297 7.7665
angles: 90.00 90.00 90.00
Space group Cmmm (No. 65)
Inequivalent atoms, fractional coordinates:
Pr (0.0000, 0.0000, 0.2429) x4
Pr (0.0000, 0.3372, 0.2471) x8
In (0.0000, 0.1684, 0.5000) x4
In (0.0000, 0.1699, 0.0000) x4
In (0.0000, 0.5000, 0.5000) x2
Ga (0.0000, 0.5000, 0.0000) x2

Computed properties:
energy of formation from the pure elements	-496	meV per atom

No. 11
Computed, not measured: a relaxed Ac2NpZnO8 crystal at the PBE level of DFT.

abc: 4.4336 5.4149 8.2524
angles: 89.94 89.97 80.68
Space group P-1 (No. 2)
Inequivalent atoms, fractional coordinates:
Ac (0.0003, 0.0003, 0.2451) x2
Np (0.5000, 0.5000, 0.5000) x1
Zn (0.5000, 0.5000, 0.0000) x1
O (0.0975, 0.7228, 0.5000) x2
O (0.1915, 0.7617, 0.0002) x2
O (0.4277, 0.2700, 0.6881) x2
O (0.4280, 0.2709, 0.3116) x2

Computed properties:
ΔE_f (raw)	-2.5386	eV per atom

No. 12
Computed, not measured: a relaxed MgTi2SbI crystal at the PBE level of DFT.

abc: 5.3892 5.3892 5.0131
angles: 90.00 90.00 90.00
Space group P4/mmm (No. 123)
Inequivalent atoms, fractional coordinates:
Mg (0.0000, 0.0000, 0.0000) x1
Ti (0.0000, 0.5000, 0.0000) x2
Sb (0.0000, 0.0000, 0.5000) x1
I (0.5000, 0.5000, 0.5000) x1

Computed properties:
ΔE_f (raw)	0.9775	eV per atom

Copy entry 3 word for word.
Computed, not measured: a relaxed LiSbMoI2 crystal at the PBE level of DFT.

abc: 5.2859 5.2859 5.5440
angles: 90.00 90.00 90.00
Space group P4/mmm (No. 123)
Inequivalent atoms, fractional coordinates:
Li (0.0000, 0.0000, 0.0000) x1
Sb (0.5000, 0.5000, 0.0000) x1
Mo (0.0000, 0.0000, 0.5000) x1
I (0.0000, 0.5000, 0.5000) x2

Computed properties:
excess energy over the best structure of this formula in the dataset	2.92	eV per formula unit
ΔE_f (raw)	0.8081	eV per atom

> What is the formula in the eighth record?

Hf2RuSe2